[1]
Entry from the Alexandria database: an optimized crystal structure of TbTm2Cu3 (GGA-PBE).

The value obtained for the magnetic moment is 0.00 μB per cell.

The structure belongs to space group P4/mmm (No. 123); the cell edges are 3.431, 3.431 and 10.358 Å and the angles 90.00°, 90.00° and 90.00°. The asymmetric unit holds Tb at (0.000, 0.000, 0.000), Tm at (0.000, 0.000, 0.336), Cu at (0.500, 0.500, 0.173) and Cu at (0.500, 0.500, 0.500).

***

[2]
Entry from the Alexandria database: an optimized crystal structure of Pm3In2Ir (GGA-PBE).

The value obtained for the magnetic moment is 0.00 μB per cell.

The structure belongs to space group C2/c (No. 15); the cell edges are 18.453, 5.431 and 7.537 Å and the angles 90.00°, 114.06° and 90.00°. The asymmetric unit holds Pm at (0.000, 0.001, 0.250), Pm at (0.131, 0.500, 0.131), In at (0.197, 0.000, 0.447) and Ir at (0.000, 0.499, 0.750).

***

[3]
Entry from the Alexandria database: an optimized crystal structure of YBe2Zn2 (GGA-PBE).

For the energy relative to the lowest polymorph listed for this composition, the calculation gives 0.299 eV/atom. The value obtained for the magnetic moment is 0.00 μB per cell.

The structure belongs to space group P4/mbm (No. 127); the cell edges are 7.479, 7.479 and 2.638 Å and the angles 90.00°, 90.00° and 90.00°. The asymmetric unit holds Y at (0.000, 0.000, 0.000), Be at (0.168, 0.332, 0.500) and Zn at (0.126, 0.626, 0.000).

***

Values for calculated total energy, eV/atom, ordered as above
-4.59 -5.23 -3.14